Entry 1:
Entry from Alexandria via LeMat-Bulk: crystalline LiCaSc2O at its relaxed geometry (PBE).

Computed properties:
The calculation puts the total energy at -5.3369 eV/atom. As for the symmetry: P4/mmm. The formation energy from raw total energies is -5.15 eV per formula unit. The calculated density comes out at 2.521 g cm⁻³.

Cell and atoms, written as CIF:
```
data_LiCaSc2O
_cell_length_a 4.382
_cell_length_b 4.382
_cell_length_c 5.246
_cell_angle_alpha 90.00
_cell_angle_beta 90.00
_cell_angle_gamma 90.00
_symmetry_space_group_name_H-M 'P 1'
_symmetry_Int_Tables_number 1
_symmetry_space_group_name_Hall 'P 1'
loop_
_atom_site_label
_atom_site_type_symbol
_atom_site_fract_x
_atom_site_fract_y
_atom_site_fract_z
Li1 Li 0.000 0.000 0.000
Ca1 Ca 0.500 0.500 0.000
Sc1 Sc 0.000 0.500 0.500
Sc2 Sc 0.500 0.000 0.500
O1 O 0.500 0.500 0.500
```

Entry 2:
Entry from Alexandria via LeMat-Bulk: crystalline LiCa2ScO at its relaxed geometry (PBE).

Computed properties:
The calculation puts the total energy at -4.4954 eV/atom. As for the symmetry: P4/mmm. The formation energy from raw total energies is -5.27 eV per formula unit. The calculated density comes out at 2.125 g cm⁻³.

Cell and atoms, written as CIF:
```
data_LiCa2ScO
_cell_length_a 5.268
_cell_length_b 5.268
_cell_length_c 4.168
_cell_angle_alpha 90.00
_cell_angle_beta 90.00
_cell_angle_gamma 90.00
_symmetry_space_group_name_H-M 'P 1'
_symmetry_Int_Tables_number 1
_symmetry_space_group_name_Hall 'P 1'
loop_
_atom_site_label
_atom_site_type_symbol
_atom_site_fract_x
_atom_site_fract_y
_atom_site_fract_z
Li1 Li 0.000 0.000 0.000
Ca1 Ca 0.000 0.500 0.500
Ca2 Ca 0.500 0.000 0.500
Sc1 Sc 0.500 0.500 0.000
O1 O 0.500 0.500 0.500
```

Entry 3:
Entry from Alexandria via LeMat-Bulk: crystalline LiCaScO3 at its relaxed geometry (PBE).

Computed properties:
The calculation puts the total energy at -7.0384 eV/atom. As for the symmetry: P2_1/m. The formation energy from raw total energies is -17.11 eV per formula unit. The calculated density comes out at 3.261 g cm⁻³.

Cell and atoms, written as CIF:
```
data_LiCaScO3
_cell_length_a 6.737
_cell_length_b 3.201
_cell_length_c 6.788
_cell_angle_alpha 90.00
_cell_angle_beta 103.13
_cell_angle_gamma 90.00
_symmetry_space_group_name_H-M 'P 1'
_symmetry_Int_Tables_number 1
_symmetry_space_group_name_Hall 'P 1'
loop_
_atom_site_label
_atom_site_type_symbol
_atom_site_fract_x
_atom_site_fract_y
_atom_site_fract_z
Li1 Li 0.090 0.250 0.085
Li2 Li 0.910 0.750 0.915
Ca1 Ca 0.271 0.750 0.801
Ca2 Ca 0.729 0.250 0.199
Sc1 Sc 0.328 0.750 0.335
Sc2 Sc 0.672 0.250 0.665
O1 O 0.014 0.750 0.198
O2 O 0.340 0.250 0.556
O3 O 0.369 0.250 0.135
O4 O 0.631 0.750 0.865
O5 O 0.660 0.750 0.444
O6 O 0.986 0.250 0.802
```